Record 1
Below is crystalline SmCu2Ni at its relaxed geometry, with properties calculated at the PBE-GGA level.

## Properties
Its total magnetic moment is 0.00 μB/cell. For the density of states at the Fermi level, the calculation gives 1.90 states/eV/f.u. As for the energy of formation from the pure elements: -231 meV/atom.

Structure (CIF):
```
data_SmCu2Ni
_cell_length_a 4.090
_cell_length_b 9.447
_cell_length_c 6.798
_cell_angle_alpha 90.00
_cell_angle_beta 90.00
_cell_angle_gamma 90.00
_space_group_name_H-M_alt 'C m c m'
_space_group_IT_number 63
_space_group_name_Hall '-C 2c 2'
loop_
_atom_site_label
_atom_site_type_symbol
_atom_site_fract_x
_atom_site_fract_y
_atom_site_fract_z
Sm1 Sm 0.000 0.076 0.250
Cu1 Cu 0.000 0.360 0.061
Ni1 Ni 0.000 0.211 0.750
```

Record 2
Below is crystalline Sm2Cu3Ni at its relaxed geometry, with properties calculated at the PBE-GGA level.

## Properties
Its total magnetic moment is 0.00 μB/cell. For the density of states at the Fermi level, the calculation gives 4.58 states/eV/f.u. As for the energy of formation from the pure elements: -257 meV/atom.

Structure (CIF):
```
data_Sm2Cu3Ni
_cell_length_a 3.754
_cell_length_b 4.166
_cell_length_c 7.325
_cell_angle_alpha 90.00
_cell_angle_beta 90.00
_cell_angle_gamma 90.00
_space_group_name_H-M_alt 'P m m 2'
_space_group_IT_number 25
_space_group_name_Hall 'P 2 -2'
loop_
_atom_site_label
_atom_site_type_symbol
_atom_site_fract_x
_atom_site_fract_y
_atom_site_fract_z
Sm1 Sm 0.000 0.000 0.000
Sm2 Sm 0.000 0.500 0.482
Cu1 Cu 0.500 0.000 0.654
Cu2 Cu 0.500 0.500 0.157
Cu3 Cu 0.500 0.500 0.825
Ni1 Ni 0.500 0.000 0.323
```

Record 3
Below is crystalline SmCu11Ni at its relaxed geometry, with properties calculated at the PBE-GGA level.

## Properties
Its total magnetic moment is 0.00 μB/cell. For the density of states at the Fermi level, the calculation gives 4.43 states/eV/f.u. As for the energy of formation from the pure elements: -86 meV/atom.

Structure (CIF):
```
data_SmCu11Ni
_cell_length_a 4.838
_cell_length_b 12.077
_cell_length_c 6.391
_cell_angle_alpha 90.00
_cell_angle_beta 111.01
_cell_angle_gamma 90.00
_space_group_name_H-M_alt 'C 1 2/m 1'
_space_group_IT_number 12
_space_group_name_Hall '-C 2y'
loop_
_atom_site_label
_atom_site_type_symbol
_atom_site_fract_x
_atom_site_fract_y
_atom_site_fract_z
Sm1 Sm 0.000 0.000 0.000
Cu1 Cu 0.000 0.500 0.500
Cu2 Cu 0.112 0.388 0.226
Cu3 Cu 0.167 0.176 0.358
Cu4 Cu 0.250 0.250 0.000
Ni1 Ni 0.000 0.000 0.500
```

Record 4
Below is crystalline SmCu9Ni2 at its relaxed geometry, with properties calculated at the PBE-GGA level.

## Properties
Its total magnetic moment is 0.00 μB/cell. For the density of states at the Fermi level, the calculation gives 5.90 states/eV/f.u. As for the energy of formation from the pure elements: -87 meV/atom.

Structure (CIF):
```
data_SmCu9Ni2
_cell_length_a 9.992
_cell_length_b 9.992
_cell_length_c 6.493
_cell_angle_alpha 90.00
_cell_angle_beta 90.00
_cell_angle_gamma 90.00
_space_group_name_H-M_alt 'I 41/a m d'
_space_group_IT_number 141
loop_
_space_group_symop_operation_xyz
'x,y,z'
'-x,-y,-z'
'-y+1/4,x+3/4,z+1/4'
'y+1/4,-x+3/4,-z+1/4'
'-x+1/2,-y,z+1/2'
'x+1/2,y,-z+1/2'
'y+1/4,-x+1/4,z+3/4'
'-y+1/4,x+1/4,-z+3/4'
'x,-y,-z'
'-x,y,z'
'-y+1/4,-x+1/4,-z+3/4'
'y+1/4,x+1/4,z+3/4'
'-x+1/2,y,-z+1/2'
'x+1/2,-y,z+1/2'
'y+1/4,x+3/4,-z+1/4'
'-y+1/4,-x+3/4,z+1/4'
'x+1/2,y+1/2,z+1/2'
'-x+1/2,-y+1/2,-z+1/2'
'-y+3/4,x+1/4,z+3/4'
'y+3/4,-x+1/4,-z+3/4'
'-x,-y+1/2,z'
'x,y+1/2,-z'
'y+3/4,-x+3/4,z+1/4'
'-y+3/4,x+3/4,-z+1/4'
'x+1/2,-y+1/2,-z+1/2'
'-x+1/2,y+1/2,z+1/2'
'-y+3/4,-x+3/4,-z+1/4'
'y+3/4,x+3/4,z+1/4'
'-x,y+1/2,-z'
'x,-y+1/2,z'
'y+3/4,x+1/4,-z+3/4'
'-y+3/4,-x+1/4,z+3/4'
loop_
_atom_site_label
_atom_site_type_symbol
_atom_site_fract_x
_atom_site_fract_y
_atom_site_fract_z
Sm1 Sm 0.000 0.250 0.375
Cu1 Cu 0.000 0.250 0.875
Cu2 Cu 0.123 0.045 0.684
Ni1 Ni 0.000 0.000 0.000
```

Record 5
Below is crystalline SmCu6Ni6 at its relaxed geometry, with properties calculated at the PBE-GGA level.

## Properties
Its total magnetic moment is 0.00 μB/cell. For the density of states at the Fermi level, the calculation gives 9.70 states/eV/f.u. As for the energy of formation from the pure elements: -112 meV/atom.

Structure (CIF):
```
data_SmCu6Ni6
_cell_length_a 4.782
_cell_length_b 8.340
_cell_length_c 8.354
_cell_angle_alpha 90.00
_cell_angle_beta 90.00
_cell_angle_gamma 90.00
_space_group_name_H-M_alt 'I m m m'
_space_group_IT_number 71
_space_group_name_Hall '-I 2 2'
loop_
_atom_site_label
_atom_site_type_symbol
_atom_site_fract_x
_atom_site_fract_y
_atom_site_fract_z
Sm1 Sm 0.000 0.000 0.000
Cu1 Cu 0.000 0.000 0.352
Cu2 Cu 0.000 0.279 0.500
Cu3 Cu 0.000 0.355 0.000
Ni1 Ni 0.000 0.500 0.275
Ni2 Ni 0.250 0.250 0.250
```

Record 6
Below is crystalline SmCu3Ni at its relaxed geometry, with properties calculated at the PBE-GGA level.

## Properties
Its total magnetic moment is 0.00 μB/cell. For the density of states at the Fermi level, the calculation gives 3.54 states/eV/f.u. As for the energy of formation from the pure elements: -144 meV/atom.

Structure (CIF):
```
data_SmCu3Ni
_cell_length_a 5.411
_cell_length_b 11.834
_cell_length_c 4.894
_cell_angle_alpha 90.00
_cell_angle_beta 90.00
_cell_angle_gamma 90.00
_space_group_name_H-M_alt 'C m c m'
_space_group_IT_number 63
_space_group_name_Hall '-C 2c 2'
loop_
_atom_site_label
_atom_site_type_symbol
_atom_site_fract_x
_atom_site_fract_y
_atom_site_fract_z
Sm1 Sm 0.000 0.108 0.250
Cu1 Cu 0.000 0.313 0.750
Cu2 Cu 0.228 0.352 0.250
Ni1 Ni 0.000 0.500 0.000
```

Record 7
Below is crystalline Sm2Cu15Ni2 at its relaxed geometry, with properties calculated at the PBE-GGA level.

## Properties
Its total magnetic moment is 0.00 μB/cell. For the density of states at the Fermi level, the calculation gives 10.79 states/eV/f.u. As for the energy of formation from the pure elements: -112 meV/atom.

Structure (CIF):
```
data_Sm2Cu15Ni2
_cell_length_a 8.5614
_cell_length_b 8.5614
_cell_length_c 12.4780
_cell_angle_alpha 90.00
_cell_angle_beta 90.00
_cell_angle_gamma 120.00
_space_group_name_H-M_alt 'R -3 m'
_space_group_IT_number 166
_space_group_name_Hall '-R 3 2"'
loop_
_atom_site_label
_atom_site_type_symbol
_atom_site_fract_x
_atom_site_fract_y
_atom_site_fract_z
Sm1 Sm 0.0000 0.0000 0.1651
Cu1 Cu 0.0000 0.2900 0.5000
Cu2 Cu 0.0000 0.5000 0.0000
Cu3 Cu 0.0013 0.5006 0.3464
Ni1 Ni 0.0000 0.0000 0.4027
```

Record 8
Below is crystalline Sm2CuNi at its relaxed geometry, with properties calculated at the PBE-GGA level.

## Properties
Its total magnetic moment is 0.00 μB/cell. For the density of states at the Fermi level, the calculation gives 3.28 states/eV/f.u. As for the energy of formation from the pure elements: -290 meV/atom.

Structure (CIF):
```
data_Sm2CuNi
_cell_length_a 5.571
_cell_length_b 4.457
_cell_length_c 7.568
_cell_angle_alpha 90.00
_cell_angle_beta 109.80
_cell_angle_gamma 90.00
_space_group_name_H-M_alt 'P 1 21/m 1'
_space_group_IT_number 11
_space_group_name_Hall '-P 2yb'
loop_
_atom_site_label
_atom_site_type_symbol
_atom_site_fract_x
_atom_site_fract_y
_atom_site_fract_z
Sm1 Sm 0.219 0.250 0.434
Sm2 Sm 0.227 0.250 0.929
Cu1 Cu 0.355 0.750 0.215
Ni1 Ni 0.365 0.750 0.716
```

Number 1: E_tot -78.46 eV for the cell shown. Number 2: E_tot -29.05 eV for the cell shown. Number 3: E_tot -113.36 eV for the cell shown. Number 4: E_tot -216.75 eV for the cell shown. Number 5: E_tot -130.89 eV for the cell shown. Number 6: E_tot -94.03 eV for the cell shown. Number 7: E_tot -253.70 eV for the cell shown. Number 8: E_tot -40.95 eV for the cell shown.